This record from Alexandria describes YGeI5 after structural relaxation. The functional is PBE.

POSCAR file:
```
YGeI5
1.0
9.0222 0.0000 0.0000
0.0000 4.3855 0.0000
-1.5030 0.0000 15.1714
Y Ge I
2 2 10
direct
0.1042 0.2500 0.1474
0.8958 0.7500 0.8526
0.3862 0.7500 0.3869
0.6138 0.2500 0.6132
0.1009 0.2500 0.7938
0.1567 0.2500 0.3709
0.1833 0.7500 0.0123
0.3657 0.7500 0.5698
0.4289 0.2500 0.1905
0.5711 0.7500 0.8095
0.6343 0.2500 0.4302
0.8167 0.2500 0.9877
0.8433 0.7500 0.6291
0.8991 0.7500 0.2062
```


This record from Alexandria describes YGeI2 after structural relaxation. The functional is PBE.

POSCAR file:
```
YGeI2
1.0
1.9548 1.1286 10.4015
-1.9548 1.1286 10.4015
0.0000 -2.2572 10.4015
Y Ge I
1 1 2
direct
0.0000 0.0000 0.0000
0.5000 0.5000 0.5000
0.0961 0.0961 0.0961
0.9039 0.9039 0.9039
```


This record from Alexandria describes Y2GeI2 after structural relaxation. The functional is PBE.

POSCAR file:
```
Y2GeI2
1.0
-2.3669 2.3669 7.3927
2.3669 -2.3669 7.3927
2.3669 2.3669 -7.3927
Y Ge I
2 1 2
direct
0.1120 0.1120 0.0000
0.8880 0.8880 0.0000
0.5000 0.5000 0.0000
0.2500 0.7500 0.5000
0.7500 0.2500 0.5000
```


This record from Alexandria describes YGe2I after structural relaxation. The functional is PBE.

POSCAR file:
```
YGe2I
1.0
0.0000 3.7063 3.7063
3.7063 0.0000 3.7063
3.7063 3.7063 0.0000
Y Ge I
1 2 1
direct
0.0000 0.0000 0.0000
0.2500 0.2500 0.2500
0.7500 0.7500 0.7500
0.5000 0.5000 0.5000
```


This record from Alexandria describes Y2ZrGeI after structural relaxation. The functional is PBE.

POSCAR file:
```
Y2ZrGeI
1.0
5.7334 0.0000 0.0000
0.0000 5.7334 0.0000
0.0000 0.0000 5.2798
Y Zr Ge I
2 1 1 1
direct
0.0000 0.5000 0.0000
0.5000 0.0000 0.0000
0.0000 0.0000 0.0000
0.5000 0.5000 0.5000
0.0000 0.0000 0.5000
```


This record from Alexandria describes ZnGe3I after structural relaxation. The functional is PBE.

POSCAR file:
```
ZnGe3I
1.0
5.0124 0.0000 0.0000
0.0000 5.0124 0.0000
0.0000 0.0000 5.0124
Zn Ge I
1 3 1
direct
0.0000 0.0000 0.0000
0.0000 0.0000 0.5000
0.0000 0.5000 0.0000
0.5000 0.0000 0.0000
0.5000 0.5000 0.5000
```


This record from Alexandria describes ZnGe2I after structural relaxation. The functional is PBE.

POSCAR file:
```
ZnGe2I
1.0
-3.0863 3.0863 6.3641
3.0863 -3.0863 6.3641
3.0863 3.0863 -6.3641
Zn Ge I
2 4 2
direct
0.0000 0.0000 0.0000
0.7500 0.2500 0.5000
0.0419 0.6250 0.9169
0.3750 0.2919 0.4169
0.7081 0.1250 0.0831
0.8750 0.9581 0.5831
0.2500 0.7500 0.5000
0.5000 0.5000 0.0000
```


This record from Alexandria describes Zn2GeI6 after structural relaxation. The functional is PBE.

POSCAR file:
```
Zn2GeI6
1.0
7.2049 -6.5874 0.0000
7.2049 6.5874 0.0000
-1.5331 0.0000 7.3967
Zn Ge I
4 2 12
direct
0.1135 0.2739 0.3320
0.2739 0.1135 0.8320
0.7261 0.8865 0.1680
0.8865 0.7261 0.6680
0.3825 0.6175 0.7500
0.6175 0.3825 0.2500
0.0482 0.2100 0.6335
0.1180 0.6329 0.8673
0.2100 0.0482 0.1335
0.2934 0.4682 0.3698
0.3671 0.8820 0.6327
0.4682 0.2934 0.8698
0.5318 0.7066 0.1302
0.6329 0.1180 0.3673
0.7066 0.5318 0.6302
0.7900 0.9518 0.8665
0.8820 0.3671 0.1327
0.9518 0.7900 0.3665
```


This record from Alexandria describes Zn5GeI12 after structural relaxation. The functional is PBE.

POSCAR file:
```
Zn5GeI12
1.0
4.1233 0.0000 0.0000
-2.0570 10.7422 0.0000
-1.7444 -1.4706 15.1489
Zn Ge I
5 1 12
direct
0.0000 0.0000 0.0000
0.1681 0.3358 0.5000
0.3333 0.6666 0.0001
0.6667 0.3334 0.9999
0.8319 0.6642 0.5000
0.5000 0.0000 0.5000
0.0047 0.1066 0.3852
0.1643 0.2371 0.1068
0.1692 0.4296 0.8932
0.3287 0.7534 0.3894
0.3305 0.5691 0.6070
0.4976 0.9038 0.1069
0.5024 0.0962 0.8931
0.6695 0.4309 0.3930
0.6713 0.2466 0.6106
0.8308 0.5704 0.1068
0.8357 0.7629 0.8932
0.9953 0.8934 0.6148
```


This record from Alexandria describes ZnGe3I after structural relaxation. The functional is PBE.

POSCAR file:
```
ZnGe3I
1.0
5.5080 0.0000 0.0000
0.0000 5.5080 0.0000
0.0000 0.0000 5.5080
Zn Ge I
1 3 1
direct
0.0000 0.0000 0.0000
0.0000 0.5000 0.5000
0.5000 0.0000 0.5000
0.5000 0.5000 0.0000
0.5000 0.5000 0.5000
```


This record from Alexandria describes Zn2Ge2I7 after structural relaxation. The functional is PBE.

POSCAR file:
```
Zn2Ge2I7
1.0
3.8323 -6.5702 0.0000
3.8323 6.5702 0.0000
-2.6219 0.0000 10.9856
Zn Ge I
2 2 7
direct
0.0832 0.0832 0.2424
0.9168 0.9168 0.7576
0.1728 0.8272 0.5000
0.8272 0.1728 0.5000
0.0000 0.0000 0.0000
0.0828 0.4313 0.3328
0.2056 0.2056 0.6518
0.4313 0.0828 0.3328
0.5687 0.9172 0.6672
0.7944 0.7944 0.3482
0.9172 0.5687 0.6672
```


This record from Alexandria describes ZnGeI2 after structural relaxation. The functional is PBE.

POSCAR file:
```
ZnGeI2
1.0
0.0000 3.8471 3.8471
3.8471 0.0000 3.8471
3.8471 3.8471 0.0000
Zn Ge I
1 1 2
direct
0.0000 0.0000 0.0000
0.5000 0.5000 0.5000
0.2500 0.2500 0.2500
0.7500 0.7500 0.7500
```


no.,total magnetization (Bohr magnetons per cell),raw formation energy (kJ/mol of atoms),DOS(E_F) (states/eV per cell)
1,0.000,-83.8,0.00
2,0.000,-0.5,2.71
3,0.179,-23.3,4.33
4,0.000,19.5,3.19
5,0.000,65.1,6.14
6,0.000,56.7,3.63
7,0.000,40.0,6.16
8,0.000,-44.4,0.00
9,0.000,-41.8,0.00
10,0.000,120.4,4.95
11,0.000,-27.8,4.52
12,0.000,25.5,1.62